Entry 1:
A relaxed structure of Ag2PIr2, computed with PBE-GGA.

a = 8.023 Å, b = 8.023 Å, c = 2.730 Å
α = 90.00°, β = 90.00°, γ = 90.00°
Atoms (fractional coordinates):
Ag  0.186  0.314  0.000
Ag  0.314  0.814  0.000
Ag  0.686  0.186  0.000
Ag  0.814  0.686  0.000
P  0.000  0.000  0.000
P  0.500  0.500  0.000
Ir  0.111  0.611  0.500
Ir  0.389  0.111  0.500
Ir  0.611  0.889  0.500
Ir  0.889  0.389  0.500

Output
* energy above the most stable polymorph in this dataset: 919.0 meV/atom

---

Entry 2:
A relaxed structure of AgPIr, computed with PBE-GGA.

a = 7.474 Å, b = 7.206 Å, c = 2.822 Å
α = 84.31°, β = 73.62°, γ = 22.07°
Atoms (fractional coordinates):
Ag  0.000  0.000  0.000
P  0.308  0.308  0.692
Ir  0.677  0.677  0.323

Output
* energy above the most stable polymorph in this dataset: 299.1 meV/atom

---

Entry 3:
A relaxed structure of AgPIr2, computed with PBE-GGA.

a = 4.119 Å, b = 4.119 Å, c = 3.484 Å
α = 90.00°, β = 90.00°, γ = 90.00°
Atoms (fractional coordinates):
Ag  0.000  0.000  0.000
P  0.500  0.500  0.000
Ir  0.000  0.500  0.500
Ir  0.500  0.000  0.500

---

| no. | ΔE_f (eV/f.u.) | electronic total energy (eV for the cell shown) |
| --- | --- | --- |
| 1 | 4.5 | -48.590 |
| 2 | 0.8 | -16.363 |
| 3 | 2.0 | -24.026 |